Entry P
# NiSeS | the Alexandria database | PBE-GGA | relaxed
data_NiSeS
_chemical_formula_sum 'Ni2 Se2 S2'
_space_group_name_H-M_alt 'P 1'
_space_group_IT_number 1
_cell_length_a 3.610
_cell_length_b 4.750
_cell_length_c 5.810
_cell_angle_alpha 90.00
_cell_angle_beta 90.00
_cell_angle_gamma 90.00
loop_
_space_group_symop_operation_xyz
'x,y,z'
loop_
_atom_site_label
_atom_site_type_symbol
_atom_site_fract_x
_atom_site_fract_y
_atom_site_fract_z
_atom_site_occupancy
Ni1 Ni 0.000 0.228 0.004 1
Ni2 Ni 0.500 0.772 0.504 1
Se1 Se 0.500 0.551 0.120 1
Se2 Se 0.000 0.449 0.620 1
S1 S 0.000 0.050 0.383 1
S2 S 0.500 0.950 0.883 1
# - size of the total moment (μB/f.u.) = 0.00
# - SG = No. 31

=====

Entry Q
# NiSeS | the Alexandria database | PBE-GGA | relaxed
data_NiSeS
_chemical_formula_sum 'Ni4 Se4 S4'
_space_group_name_H-M_alt 'P 1'
_space_group_IT_number 1
_cell_length_a 5.785
_cell_length_b 5.785
_cell_length_c 5.785
_cell_angle_alpha 90.00
_cell_angle_beta 90.00
_cell_angle_gamma 90.00
loop_
_space_group_symop_operation_xyz
'x,y,z'
loop_
_atom_site_label
_atom_site_type_symbol
_atom_site_fract_x
_atom_site_fract_y
_atom_site_fract_z
_atom_site_occupancy
Ni1 Ni 0.511 0.489 0.989 1
Ni2 Ni 0.489 0.989 0.511 1
Ni3 Ni 0.989 0.511 0.489 1
Ni4 Ni 0.011 0.011 0.011 1
Se1 Se 0.883 0.117 0.617 1
Se2 Se 0.117 0.617 0.883 1
Se3 Se 0.617 0.883 0.117 1
Se4 Se 0.383 0.383 0.383 1
S1 S 0.113 0.887 0.387 1
S2 S 0.887 0.387 0.113 1
S3 S 0.387 0.113 0.887 1
S4 S 0.613 0.613 0.613 1
# - size of the total moment (μB/f.u.) = 0.00
# - SG = No. 198

=====

The winner here is entry P, beating the second structure by 0.6 kJ/mol of atoms.

=====

Entry P
# NiSeS | the Alexandria database | PBE-GGA | relaxed
data_NiSeS
_chemical_formula_sum 'Ni1 Se1 S1'
_space_group_name_H-M_alt 'P 1'
_space_group_IT_number 1
_cell_length_a 3.497
_cell_length_b 3.497
_cell_length_c 4.832
_cell_angle_alpha 90.00
_cell_angle_beta 90.00
_cell_angle_gamma 120.00
loop_
_space_group_symop_operation_xyz
'x,y,z'
loop_
_atom_site_label
_atom_site_type_symbol
_atom_site_fract_x
_atom_site_fract_y
_atom_site_fract_z
_atom_site_occupancy
Ni1 Ni 0.667 0.333 0.321 1
S1 S 0.000 0.000 0.095 1
Se1 Se 0.333 0.667 0.584 1
# - size of the total moment (μB/f.u.) = 0.00
# - SG = No. 156

=====

Entry Q
# NiSeS | the Alexandria database | PBE-GGA | relaxed
data_NiSeS
_chemical_formula_sum 'Ni2 Se2 S2'
_space_group_name_H-M_alt 'P 1'
_space_group_IT_number 1
_cell_length_a 3.538
_cell_length_b 3.542
_cell_length_c 9.811
_cell_angle_alpha 79.52
_cell_angle_beta 79.61
_cell_angle_gamma 60.03
loop_
_space_group_symop_operation_xyz
'x,y,z'
loop_
_atom_site_label
_atom_site_type_symbol
_atom_site_fract_x
_atom_site_fract_y
_atom_site_fract_z
_atom_site_occupancy
Ni1 Ni 0.057 0.499 0.386 1
Ni2 Ni 0.882 0.314 0.921 1
Se1 Se 0.260 0.693 0.788 1
Se2 Se 0.680 0.121 0.520 1
S1 S 0.511 0.943 0.035 1
S2 S 0.428 0.871 0.272 1
# - size of the total moment (μB/f.u.) = 0.00
# - SG = No. 12

=====

The winner here is entry Q, beating the second structure by 0.5 kJ/mol of atoms.

=====

Entry P
# NiSe3S | the Alexandria database | PBE-GGA | relaxed
data_NiSe3S
_chemical_formula_sum 'Ni1 Se3 S1'
_space_group_name_H-M_alt 'P 1'
_space_group_IT_number 1
_cell_length_a 4.658
_cell_length_b 4.658
_cell_length_c 4.658
_cell_angle_alpha 90.00
_cell_angle_beta 90.00
_cell_angle_gamma 90.00
loop_
_space_group_symop_operation_xyz
'x,y,z'
loop_
_atom_site_label
_atom_site_type_symbol
_atom_site_fract_x
_atom_site_fract_y
_atom_site_fract_z
_atom_site_occupancy
Ni1 Ni 0.000 0.000 0.000 1
S1 S 0.500 0.500 0.500 1
Se1 Se 0.000 0.500 0.000 1
Se2 Se 0.000 0.000 0.500 1
Se3 Se 0.500 0.000 0.000 1
# - size of the total moment (μB/f.u.) = 0.00
# - SG = No. 221

=====

Entry Q
# NiSe3S | the Alexandria database | PBE-GGA | relaxed
data_NiSe3S
_chemical_formula_sum 'Ni1 Se3 S1'
_space_group_name_H-M_alt 'P 1'
_space_group_IT_number 1
_cell_length_a 4.810
_cell_length_b 4.810
_cell_length_c 4.810
_cell_angle_alpha 90.00
_cell_angle_beta 90.00
_cell_angle_gamma 90.00
loop_
_space_group_symop_operation_xyz
'x,y,z'
loop_
_atom_site_label
_atom_site_type_symbol
_atom_site_fract_x
_atom_site_fract_y
_atom_site_fract_z
_atom_site_occupancy
Ni1 Ni 0.500 0.500 0.500 1
S1 S 0.000 0.000 0.000 1
Se1 Se 0.000 0.500 0.000 1
Se2 Se 0.000 0.000 0.500 1
Se3 Se 0.500 0.000 0.000 1
# - size of the total moment (μB/f.u.) = 1.58
# - SG = No. 221

=====

The winner here is entry P, beating the second structure by 31.5 kJ/mol of atoms.

=====

Entry P
# SiNi3S | the Alexandria database | PBE-GGA | relaxed
data_SiNi3S
_chemical_formula_sum 'Si1 Ni3 S1'
_space_group_name_H-M_alt 'P 1'
_space_group_IT_number 1
_cell_length_a 4.230
_cell_length_b 4.230
_cell_length_c 4.230
_cell_angle_alpha 90.00
_cell_angle_beta 90.00
_cell_angle_gamma 90.00
loop_
_space_group_symop_operation_xyz
'x,y,z'
loop_
_atom_site_label
_atom_site_type_symbol
_atom_site_fract_x
_atom_site_fract_y
_atom_site_fract_z
_atom_site_occupancy
Ni1 Ni 0.000 0.500 0.000 1
Ni2 Ni 0.000 0.000 0.500 1
Ni3 Ni 0.500 0.000 0.000 1
S1 S 0.500 0.500 0.500 1
Si1 Si 0.000 0.000 0.000 1
# - size of the total moment (μB/f.u.) = 0.00
# - SG = No. 221

=====

Entry Q
# SiNi3S | the Alexandria database | PBE-GGA | relaxed
data_SiNi3S
_chemical_formula_sum 'Si1 Ni3 S1'
_space_group_name_H-M_alt 'P 1'
_space_group_IT_number 1
_cell_length_a 4.154
_cell_length_b 4.154
_cell_length_c 4.154
_cell_angle_alpha 90.00
_cell_angle_beta 90.00
_cell_angle_gamma 90.00
loop_
_space_group_symop_operation_xyz
'x,y,z'
loop_
_atom_site_label
_atom_site_type_symbol
_atom_site_fract_x
_atom_site_fract_y
_atom_site_fract_z
_atom_site_occupancy
Ni1 Ni 0.000 0.500 0.000 1
Ni2 Ni 0.000 0.000 0.500 1
Ni3 Ni 0.500 0.000 0.000 1
S1 S 0.000 0.000 0.000 1
Si1 Si 0.500 0.500 0.500 1
# - size of the total moment (μB/f.u.) = 0.00
# - SG = No. 221

=====

The winner here is entry Q, beating the second structure by 35.0 kJ/mol of atoms.

=====

Entry P
# SiNi2S | the Alexandria database | PBE-GGA | relaxed
data_SiNi2S
_chemical_formula_sum 'Si1 Ni2 S1'
_space_group_name_H-M_alt 'P 1'
_space_group_IT_number 1
_cell_length_a 4.106
_cell_length_b 4.106
_cell_length_c 4.106
_cell_angle_alpha 60.00
_cell_angle_beta 60.00
_cell_angle_gamma 60.00
loop_
_space_group_symop_operation_xyz
'x,y,z'
loop_
_atom_site_label
_atom_site_type_symbol
_atom_site_fract_x
_atom_site_fract_y
_atom_site_fract_z
_atom_site_occupancy
Ni1 Ni 0.250 0.250 0.250 1
Ni2 Ni 0.750 0.750 0.750 1
S1 S 0.500 0.500 0.500 1
Si1 Si 0.000 0.000 0.000 1
# - size of the total moment (μB/f.u.) = 0.00
# - SG = No. 225

=====

Entry Q
# SiNi2S | the Alexandria database | PBE-GGA | relaxed
data_SiNi2S
_chemical_formula_sum 'Si2 Ni4 S2'
_space_group_name_H-M_alt 'P 1'
_space_group_IT_number 1
_cell_length_a 4.024
_cell_length_b 4.024
_cell_length_c 7.451
_cell_angle_alpha 74.33
_cell_angle_beta 74.33
_cell_angle_gamma 90.00
loop_
_space_group_symop_operation_xyz
'x,y,z'
loop_
_atom_site_label
_atom_site_type_symbol
_atom_site_fract_x
_atom_site_fract_y
_atom_site_fract_z
_atom_site_occupancy
Ni1 Ni 0.651 0.125 0.250 1
Ni2 Ni 0.099 0.625 0.250 1
Ni3 Ni 0.375 0.349 0.750 1
Ni4 Ni 0.875 0.901 0.750 1
S1 S 0.000 0.000 0.000 1
S2 S 0.750 0.250 0.500 1
Si1 Si 0.500 0.500 0.000 1
Si2 Si 0.250 0.750 0.500 1
# - size of the total moment (μB/f.u.) = 0.00
# - SG = No. 122

=====

The winner here is entry Q, beating the second structure by 14.9 kJ/mol of atoms.

=====

Entry P
# NiSnS3 | the Alexandria database | PBE-GGA | relaxed
data_NiSnS3
_chemical_formula_sum 'Ni2 Sn2 S6'
_space_group_name_H-M_alt 'P 1'
_space_group_IT_number 1
_cell_length_a 3.514
_cell_length_b 5.756
_cell_length_c 10.723
_cell_angle_alpha 93.49
_cell_angle_beta 90.00
_cell_angle_gamma 90.00
loop_
_space_group_symop_operation_xyz
'x,y,z'
loop_
_atom_site_label
_atom_site_type_symbol
_atom_site_fract_x
_atom_site_fract_y
_atom_site_fract_z
_atom_site_occupancy
Ni1 Ni 0.250 0.750 0.000 1
Ni2 Ni 0.750 0.250 0.000 1
Sn1 Sn 0.250 0.745 0.393 1
Sn2 Sn 0.750 0.255 0.607 1
S1 S 0.250 0.076 0.893 1
S2 S 0.750 0.924 0.107 1
S3 S 0.250 0.424 0.107 1
S4 S 0.750 0.576 0.893 1
S5 S 0.250 0.242 0.431 1
S6 S 0.750 0.758 0.569 1
# - size of the total moment (μB/f.u.) = 0.00
# - SG = No. 11

=====

Entry Q
# NiSnS3 | the Alexandria database | PBE-GGA | relaxed
data_NiSnS3
_chemical_formula_sum 'Ni1 Sn1 S3'
_space_group_name_H-M_alt 'P 1'
_space_group_IT_number 1
_cell_length_a 4.523
_cell_length_b 4.523
_cell_length_c 4.523
_cell_angle_alpha 90.00
_cell_angle_beta 90.00
_cell_angle_gamma 90.00
loop_
_space_group_symop_operation_xyz
'x,y,z'
loop_
_atom_site_label
_atom_site_type_symbol
_atom_site_fract_x
_atom_site_fract_y
_atom_site_fract_z
_atom_site_occupancy
Ni1 Ni 0.000 0.000 0.000 1
S1 S 0.000 0.500 0.000 1
S2 S 0.000 0.000 0.500 1
S3 S 0.500 0.000 0.000 1
Sn1 Sn 0.500 0.500 0.500 1
# - size of the total moment (μB/f.u.) = 0.00
# - SG = No. 221

=====

The winner here is entry P, beating the second structure by 36.4 kJ/mol of atoms.

=====

Entry P
# Ni2SnS | the Alexandria database | PBE-GGA | relaxed
data_Ni2SnS
_chemical_formula_sum 'Ni4 Sn2 S2'
_space_group_name_H-M_alt 'P 1'
_space_group_IT_number 1
_cell_length_a 4.602
_cell_length_b 4.602
_cell_length_c 7.453
_cell_angle_alpha 72.02
_cell_angle_beta 72.02
_cell_angle_gamma 90.00
loop_
_space_group_symop_operation_xyz
'x,y,z'
loop_
_atom_site_label
_atom_site_type_symbol
_atom_site_fract_x
_atom_site_fract_y
_atom_site_fract_z
_atom_site_occupancy
Ni1 Ni 0.509 0.125 0.250 1
Ni2 Ni 0.241 0.625 0.250 1
Ni3 Ni 0.375 0.491 0.750 1
Ni4 Ni 0.875 0.759 0.750 1
S1 S 0.500 0.500 0.000 1
S2 S 0.250 0.750 0.500 1
Sn1 Sn 0.000 0.000 0.000 1
Sn2 Sn 0.750 0.250 0.500 1
# - size of the total moment (μB/f.u.) = 0.00
# - SG = No. 122

=====

Entry Q
# Ni2SnS | the Alexandria database | PBE-GGA | relaxed
data_Ni2SnS
_chemical_formula_sum 'Ni2 Sn1 S1'
_space_group_name_H-M_alt 'P 1'
_space_group_IT_number 1
_cell_length_a 4.308
_cell_length_b 4.308
_cell_length_c 5.754
_cell_angle_alpha 68.02
_cell_angle_beta 68.02
_cell_angle_gamma 60.00
loop_
_space_group_symop_operation_xyz
'x,y,z'
loop_
_atom_site_label
_atom_site_type_symbol
_atom_site_fract_x
_atom_site_fract_y
_atom_site_fract_z
_atom_site_occupancy
Ni1 Ni 0.130 0.130 0.610 1
Ni2 Ni 0.870 0.870 0.390 1
S1 S 0.000 0.000 0.000 1
Sn1 Sn 0.500 0.500 0.500 1
# - size of the total moment (μB/f.u.) = 0.00
# - SG = No. 166

=====

Entry R
# Ni2SnS | the Alexandria database | PBE-GGA | relaxed
data_Ni2SnS
_chemical_formula_sum 'Ni2 Sn1 S1'
_space_group_name_H-M_alt 'P 1'
_space_group_IT_number 1
_cell_length_a 4.369
_cell_length_b 4.369
_cell_length_c 4.369
_cell_angle_alpha 60.00
_cell_angle_beta 60.00
_cell_angle_gamma 60.00
loop_
_space_group_symop_operation_xyz
'x,y,z'
loop_
_atom_site_label
_atom_site_type_symbol
_atom_site_fract_x
_atom_site_fract_y
_atom_site_fract_z
_atom_site_occupancy
Ni1 Ni 0.250 0.250 0.250 1
Ni2 Ni 0.750 0.750 0.750 1
S1 S 0.000 0.000 0.000 1
Sn1 Sn 0.500 0.500 0.500 1
# - size of the total moment (μB/f.u.) = 0.00
# - SG = No. 225

=====

The winner here is entry P, beating the second structure by 21.8 kJ/mol of atoms.

=====

Entry P
# Ni3SnS | the Alexandria database | PBE-GGA | relaxed
data_Ni3SnS
_chemical_formula_sum 'Ni3 Sn1 S1'
_space_group_name_H-M_alt 'P 1'
_space_group_IT_number 1
_cell_length_a 4.665
_cell_length_b 4.665
_cell_length_c 4.665
_cell_angle_alpha 90.00
_cell_angle_beta 90.00
_cell_angle_gamma 90.00
loop_
_space_group_symop_operation_xyz
'x,y,z'
loop_
_atom_site_label
_atom_site_type_symbol
_atom_site_fract_x
_atom_site_fract_y
_atom_site_fract_z
_atom_site_occupancy
Ni1 Ni 0.000 0.500 0.000 1
Ni2 Ni 0.000 0.000 0.500 1
Ni3 Ni 0.500 0.000 0.000 1
S1 S 0.500 0.500 0.500 1
Sn1 Sn 0.000 0.000 0.000 1
# - size of the total moment (μB/f.u.) = 0.00
# - SG = No. 221

=====

Entry Q
# Ni3SnS | the Alexandria database | PBE-GGA | relaxed
data_Ni3SnS
_chemical_formula_sum 'Ni6 Sn2 S2'
_space_group_name_H-M_alt 'P 1'
_space_group_IT_number 1
_cell_length_a 5.343
_cell_length_b 5.437
_cell_length_c 6.817
_cell_angle_alpha 66.52
_cell_angle_beta 58.91
_cell_angle_gamma 59.39
loop_
_space_group_symop_operation_xyz
'x,y,z'
loop_
_atom_site_label
_atom_site_type_symbol
_atom_site_fract_x
_atom_site_fract_y
_atom_site_fract_z
_atom_site_occupancy
Ni1 Ni 0.065 0.111 0.295 1
Ni2 Ni 0.530 0.272 0.970 1
Ni3 Ni 0.145 0.766 0.840 1
Ni4 Ni 0.145 0.293 0.841 1
Ni5 Ni 0.064 0.574 0.294 1
Ni6 Ni 0.497 0.039 0.469 1
Sn1 Sn 0.458 0.572 0.442 1
Sn2 Sn 0.621 0.778 0.867 1
S1 S 0.981 0.226 0.613 1
S2 S 0.878 0.018 0.130 1
# - size of the total moment (μB/f.u.) = 0.00
# - SG = No. 8

=====

The winner here is entry Q, beating the second structure by 130.8 kJ/mol of atoms.